## i
## LiYSi (GGA-PBEsol)

Data for LiYSi after structural relaxation.

a b c (Å): 3.254 3.254 5.880
angles (deg): 106.07 106.07 90.00
Atoms (fractional coordinates):
Y 0.320 0.320 0.640
Li 0.033 0.033 0.066
Si 0.647 0.647 0.293

Summary:
spin magnetization: 0.00 μB per formula unit
DOS at the Fermi energy: 1.1 states/eV/f.u.


## ii
## LiYSi (GGA-PBEsol)

Data for LiYSi after structural relaxation.

a b c (Å): 4.203 6.930 6.930
angles (deg): 120.00 90.00 90.00
Atoms (fractional coordinates):
Li 0.500 0.768 0.768
Li 0.500 0.232 0.000
Li 0.500 0.000 0.232
Y 0.000 0.000 0.572
Y 0.000 0.572 0.000
Y 0.000 0.428 0.428
Si 0.500 0.333 0.667
Si 0.500 0.667 0.333
Si 0.000 0.000 0.000

Summary:
spin magnetization: 0.00 μB per formula unit
DOS at the Fermi energy: 0.3 states/eV/f.u.


Energy above the most stable structure, in meV/atom: i 407; ii 0


## i
## Li2TlSn (GGA-PBEsol)

Data for Li2TlSn after structural relaxation.

a b c (Å): 6.549 5.600 5.601
angles (deg): 61.78 73.51 73.54
Atoms (fractional coordinates):
Sn 0.498 0.952 0.033
Sn 0.253 0.466 0.549
Li 0.375 0.515 0.985
Li 0.875 0.583 0.917
Li 0.600 0.030 0.465
Li 0.150 0.035 0.470
Tl 0.989 0.982 0.062
Tl 0.761 0.438 0.518

Summary:
spin magnetization: 0.00 μB per formula unit
DOS at the Fermi energy: 1.4 states/eV/f.u.


## ii
## Li2TlSn (GGA-PBEsol)

Data for Li2TlSn after structural relaxation.

a b c (Å): 4.817 4.817 4.817
angles (deg): 60.00 60.00 60.00
Atoms (fractional coordinates):
Sn 0.000 0.000 0.000
Tl 0.500 0.500 0.500
Li 0.750 0.750 0.750
Li 0.250 0.250 0.250

Summary:
spin magnetization: 0.00 μB per formula unit
DOS at the Fermi energy: 1.2 states/eV/f.u.


Energy above the most stable structure, in meV/atom: i 68; ii 0


## i
## Li2YSn2 (GGA-PBEsol)

Data for Li2YSn2 after structural relaxation.

a b c (Å): 4.199 4.199 6.879
angles (deg): 107.77 107.77 90.00
Atoms (fractional coordinates):
Sn 0.389 0.389 0.777
Sn 0.611 0.611 0.223
Li 0.250 0.750 0.500
Li 0.750 0.250 0.500
Y 0.000 0.000 0.000

Summary:
spin magnetization: 0.00 μB per formula unit
DOS at the Fermi energy: 1.3 states/eV/f.u.


## ii
## Li2YSn2 (GGA-PBEsol)

Data for Li2YSn2 after structural relaxation.

a b c (Å): 3.130 8.120 8.120
angles (deg): 90.00 90.00 90.00
Atoms (fractional coordinates):
Y 0.000 0.500 0.500
Y 0.000 0.000 0.000
Li 0.000 0.386 0.886
Li 0.000 0.614 0.114
Li 0.000 0.114 0.386
Li 0.000 0.886 0.614
Sn 0.500 0.320 0.180
Sn 0.500 0.820 0.320
Sn 0.500 0.180 0.680
Sn 0.500 0.680 0.820

Summary:
spin magnetization: 0.00 μB per formula unit
DOS at the Fermi energy: 2.4 states/eV/f.u.


Energy above the most stable structure, in meV/atom: i 0; ii 48


## i
## Li3ZnSn (GGA-PBEsol)

Data for Li3ZnSn after structural relaxation.

a b c (Å): 5.099 5.099 5.099
angles (deg): 90.00 90.00 90.00
Atoms (fractional coordinates):
Li 0.000 0.000 0.500
Li 0.500 0.000 0.000
Li 0.000 0.500 0.000
Zn 0.500 0.500 0.500
Sn 0.000 0.000 0.000

Summary:
spin magnetization: 0.00 μB per formula unit
DOS at the Fermi energy: 3.6 states/eV/f.u.


## ii
## Li3ZnSn (GGA-PBEsol)

Data for Li3ZnSn after structural relaxation.

a b c (Å): 4.640 4.640 4.640
angles (deg): 90.00 90.00 90.00
Atoms (fractional coordinates):
Li 0.500 0.000 0.000
Li 0.000 0.000 0.500
Li 0.000 0.500 0.000
Sn 0.500 0.500 0.500
Zn 0.000 0.000 0.000

Summary:
spin magnetization: 0.00 μB per formula unit
DOS at the Fermi energy: 1.7 states/eV/f.u.


Energy above the most stable structure, in meV/atom: i 165; ii 0


## i
## Sr4Li5 (GGA-PBEsol)

Data for Sr4Li5 after structural relaxation.

a b c (Å): 7.146 10.249 10.249
angles (deg): 120.00 90.00 90.00
Atoms (fractional coordinates):
Sr 0.250 0.000 0.640
Sr 0.750 0.000 0.360
Sr 0.000 0.000 0.000
Sr 0.500 0.000 0.000
Sr 0.750 0.640 0.640
Sr 0.250 0.360 0.360
Sr 0.250 0.640 0.000
Sr 0.750 0.360 0.000
Li 0.750 0.313 0.313
Li 0.000 0.333 0.667
Li 0.250 0.000 0.313
Li 0.000 0.667 0.333
Li 0.500 0.667 0.333
Li 0.500 0.333 0.667
Li 0.750 0.000 0.687
Li 0.250 0.687 0.687
Li 0.750 0.687 0.000
Li 0.250 0.313 0.000

Summary:
spin magnetization: 0.00 μB per formula unit
DOS at the Fermi energy: 7.6 states/eV/f.u.


## ii
## Sr4Li5 (GGA-PBEsol)

Data for Sr4Li5 after structural relaxation.

a b c (Å): 5.591 8.096 8.096
angles (deg): 83.15 69.80 69.80
Atoms (fractional coordinates):
Li 0.360 0.000 0.279
Li 0.640 0.000 0.721
Li 0.000 0.000 0.000
Li 0.640 0.721 0.000
Li 0.360 0.279 0.000
Sr 0.305 0.695 0.695
Sr 0.000 0.305 0.695
Sr 0.000 0.695 0.305
Sr 0.695 0.305 0.305

Summary:
spin magnetization: 0.00 μB per formula unit
DOS at the Fermi energy: 8.7 states/eV/f.u.


Energy above the most stable structure, in meV/atom: i 12; ii 0


## i
## Sr2LiTa (GGA-PBEsol)

Data for Sr2LiTa after structural relaxation.

a b c (Å): 3.166 5.260 6.709
angles (deg): 90.00 90.00 90.00
Atoms (fractional coordinates):
Ta 0.000 0.000 0.496
Sr 0.000 0.000 0.969
Sr 0.500 0.500 0.306
Li 0.500 0.500 0.729

Summary:
spin magnetization: 0.00 μB per formula unit
DOS at the Fermi energy: 5.0 states/eV/f.u.


## ii
## Sr2LiTa (GGA-PBEsol)

Data for Sr2LiTa after structural relaxation.

a b c (Å): 4.831 4.831 6.270
angles (deg): 112.66 112.66 90.00
Atoms (fractional coordinates):
Sr 0.750 0.250 0.500
Sr 0.000 0.000 0.000
Ta 0.500 0.500 0.000
Li 0.250 0.750 0.500

Summary:
spin magnetization: 3.48 μB per formula unit
DOS at the Fermi energy: 3.3 states/eV/f.u.


Energy above the most stable structure, in meV/atom: i 0; ii 71


## i
## SrLiTa2 (GGA-PBEsol)

Data for SrLiTa2 after structural relaxation.

a b c (Å): 2.797 2.797 11.004
angles (deg): 90.00 90.00 108.73
Atoms (fractional coordinates):
Sr 0.500 0.500 0.000
Ta 0.000 0.000 0.268
Ta 0.000 0.000 0.732
Li 0.500 0.500 0.500

Summary:
spin magnetization: 0.00 μB per formula unit
DOS at the Fermi energy: 4.1 states/eV/f.u.


## ii
## SrLiTa2 (GGA-PBEsol)

Data for SrLiTa2 after structural relaxation.

a b c (Å): 3.503 3.503 7.719
angles (deg): 90.00 90.00 90.00
Atoms (fractional coordinates):
Ta 0.000 0.000 0.076
Ta 0.500 0.500 0.216
Li 0.000 0.000 0.435
Sr 0.500 0.500 0.773

Summary:
spin magnetization: 0.00 μB per formula unit
DOS at the Fermi energy: 2.6 states/eV/f.u.


Energy above the most stable structure, in meV/atom: i 393; ii 0


## i
## SrLi2Tc (GGA-PBEsol)

Data for SrLi2Tc after structural relaxation.

a b c (Å): 2.895 2.895 10.813
angles (deg): 82.31 82.31 60.00
Atoms (fractional coordinates):
Sr 0.500 0.500 0.500
Li 0.264 0.264 0.208
Li 0.736 0.736 0.792
Tc 0.000 0.000 0.000

Summary:
spin magnetization: 0.33 μB per formula unit
DOS at the Fermi energy: 4.6 states/eV/f.u.


## ii
## SrLi2Tc (GGA-PBEsol)

Data for SrLi2Tc after structural relaxation.

a b c (Å): 4.845 4.845 4.845
angles (deg): 60.00 60.00 60.00
Atoms (fractional coordinates):
Li 0.250 0.250 0.250
Li 0.750 0.750 0.750
Tc 0.500 0.500 0.500
Sr 0.000 0.000 0.000

Summary:
spin magnetization: 1.95 μB per formula unit
DOS at the Fermi energy: 4.6 states/eV/f.u.


## iii
## SrLi2Tc (GGA-PBEsol)

Data for SrLi2Tc after structural relaxation.

a b c (Å): 2.849 5.334 6.378
angles (deg): 114.72 102.91 90.00
Atoms (fractional coordinates):
Li 0.708 0.708 0.415
Li 0.292 0.292 0.585
Tc 0.000 0.500 0.000
Sr 0.500 0.000 0.000

Summary:
spin magnetization: 0.00 μB per formula unit
DOS at the Fermi energy: 3.0 states/eV/f.u.


Energy above the most stable structure, in meV/atom: i 215; ii 121; iii 0